Record 1
VASP calculation (PBE) on a relaxed structure of RbAgP2O.

Cell lengths 4.8934, 4.8934, 4.6695 Å; angles 90.00, 90.00, 90.00 degrees
With the nearest neighbours (Å) after each atom.
Sites, in units of the cell vectors:
Rb1 0.0000 0.0000 0.0000  8 P 3.38, 4 O 3.46
Ag1 0.5000 0.5000 0.5000  2 O 2.33, 4 P 2.45
P1 0.0000 0.5000 0.5000  2 Ag 2.45
P2 0.5000 0.0000 0.5000  2 Ag 2.45
O1 0.5000 0.5000 0.0000  2 Ag 2.33

Output
mass density: 4029 kg/m³
crystal system: tetragonal
total magnetization: 1.550 μB per formula unit
distance to the lowest polymorph of the same formula: 0.0000 eV/atom
symmetry: P4/mmm (123)



Record 2
VASP calculation (PBE) on a relaxed structure of ReAgPO2.

Cell lengths 3.7766, 3.7766, 5.1420 Å; angles 90.00, 90.00, 90.00 degrees
With the nearest neighbours (Å) after each atom.
Sites, in units of the cell vectors:
Re1 0.0000 0.0000 0.0000  4 O 1.89
Ag1 0.5000 0.5000 0.5000  4 P 2.67
P1 0.0000 0.0000 0.5000  2 Re 2.57, 4 Ag 2.67
O1 0.0000 0.5000 0.0000  2 Re 1.89
O2 0.5000 0.0000 0.0000  2 Re 1.89

Output
mass density: 8084 kg/m³
crystal system: tetragonal
total magnetization: 0.000 μB per formula unit
distance to the lowest polymorph of the same formula: 0.0000 eV/atom
symmetry: P4/mmm (123)



Record 3
VASP calculation (PBE) on a relaxed structure of ReAgPO2.

Cell lengths 3.9153, 3.9153, 5.0072 Å; angles 90.00, 90.00, 90.00 degrees
With the nearest neighbours (Å) after each atom.
Sites, in units of the cell vectors:
Re1 0.0000 0.0000 0.0000  4 P 2.77
Ag1 0.5000 0.5000 0.5000  4 O 1.96
P1 0.5000 0.5000 0.0000  2 Ag 2.50, 4 Re 2.77
O1 0.0000 0.5000 0.5000  2 Ag 1.96
O2 0.5000 0.0000 0.5000  2 Ag 1.96

Output
mass density: 7724 kg/m³
crystal system: tetragonal
total magnetization: 3.365 μB per formula unit
distance to the lowest polymorph of the same formula: 1.9156 eV/atom
symmetry: P4/mmm (123)



Record 4
VASP calculation (PBE) on a relaxed structure of AgP2RhO8.

Cell lengths 8.1032, 8.1032, 8.1032 Å; angles 34.36, 34.36, 34.36 degrees
With the nearest neighbours (Å) after each atom.
Sites, in units of the cell vectors:
Ag1 0.0000 0.0000 0.0000  12 O 2.83-3.16
P1 0.2410 0.2410 0.2410  4 O 1.52-1.57
P2 0.7590 0.7590 0.7590  4 O 1.52-1.57
Rh1 0.5000 0.5000 0.5000  6 O 1.98
O1 0.0988 0.7633 0.4845  1 P 1.57
O2 0.2367 0.5155 0.9012  1 P 1.57
O3 0.3075 0.3075 0.3075  1 P 1.52
O4 0.4845 0.0988 0.7633  1 P 1.57
O5 0.5155 0.9012 0.2367  1 P 1.57
O6 0.6925 0.6925 0.6925  1 P 1.52
O7 0.7633 0.4845 0.0988  1 P 1.57
O8 0.9012 0.2367 0.5155  1 P 1.57

Output
mass density: 4402 kg/m³
crystal system: trigonal
electronic total energy: -6.40 eV/atom
total magnetization: 1.780 μB per formula unit
symmetry: R-3 (148)



Record 5
VASP calculation (PBE) on a relaxed structure of AgP2RuO.

Cell lengths 4.7572, 4.7572, 3.8735 Å; angles 90.00, 90.00, 90.00 degrees
With the nearest neighbours (Å) after each atom.
Sites, in units of the cell vectors:
Ag1 0.0000 0.0000 0.0000  2 O 1.94
P1 0.0000 0.5000 0.0000  2 Ag 2.38
P2 0.5000 0.0000 0.0000  2 Ag 2.38
Ru1 0.5000 0.5000 0.5000  8 P 3.07, 4 O 3.36
O1 0.0000 0.0000 0.5000  2 Ag 1.94

Output
mass density: 5434 kg/m³
crystal system: tetragonal
total magnetization: 2.164 μB per formula unit
distance to the lowest polymorph of the same formula: 1.1057 eV/atom
symmetry: P4/mmm (123)



Record 6
VASP calculation (PBE) on a relaxed structure of AgP2RuO.

Cell lengths 4.7932, 4.7932, 3.6601 Å; angles 90.00, 90.00, 90.00 degrees
With the nearest neighbours (Å) after each atom.
Sites, in units of the cell vectors:
Ag1 0.0000 0.0000 0.0000  8 P 3.02
P1 0.0000 0.5000 0.5000  2 Ru 2.40
P2 0.5000 0.0000 0.5000  2 Ru 2.40
Ru1 0.5000 0.5000 0.5000  2 O 1.83
O1 0.5000 0.5000 0.0000  2 Ru 1.83

Output
mass density: 5665 kg/m³
crystal system: tetragonal
total magnetization: 0.000 μB per formula unit
distance to the lowest polymorph of the same formula: 0.0000 eV/atom
symmetry: P4/mmm (123)